DFT (PBE) results for crystalline Pm4Dy19Th6 at its relaxed geometry.

a b c (Å): 12.484 12.484 12.484
angles (deg): 90.00 90.00 90.00
Space group I23 (No. 197)
Symmetry-distinct sites (fractional):
Pm1 0.179 0.179 0.179
Dy1 0.000 0.000 0.000
Dy2 0.000 0.000 0.264
Dy3 0.065 0.278 0.741
Th1 0.000 0.129 0.500

Output
For the calculated formation energy, the calculation gives 0.425 eV/atom.


DFT (PBE) results for crystalline Pm5DyTh4 at its relaxed geometry.

a b c (Å): 15.675 3.614 11.941
angles (deg): 90.00 101.73 90.00
Space group C2/m (No. 12)
Symmetry-distinct sites (fractional):
Pm1 0.000 0.000 0.000
Pm2 0.101 0.500 0.803
Pm3 0.204 0.000 0.601
Dy1 0.000 0.500 0.500
Th1 0.100 0.000 0.297
Th2 0.200 0.500 0.101

Output
For the calculated formation energy, the calculation gives 0.050 eV/atom.


DFT (PBE) results for crystalline PmDyTh2 at its relaxed geometry.

a b c (Å): 5.020 5.020 5.156
angles (deg): 90.00 90.00 90.00
Space group P4/mmm (No. 123)
Symmetry-distinct sites (fractional):
Pm1 0.000 0.000 0.000
Dy1 0.500 0.500 0.000
Th1 0.000 0.500 0.500

Output
For the relative energy among the computed polymorphs, the calculation gives 34.8 meV per atom. For the calculated formation energy, the calculation gives 0.064 eV/atom.


DFT (PBE) results for crystalline PmDyTh at its relaxed geometry.

a b c (Å): 3.5931 3.5931 8.7876
angles (deg): 90.00 90.00 120.00
Space group P3m1 (No. 156)
Symmetry-distinct sites (fractional):
Pm1 0.0000 0.0000 0.0000
Dy1 0.6667 0.3333 0.3500
Th1 0.3333 0.6667 0.6705

Output
For the relative energy among the computed polymorphs, the calculation gives 4.3 meV per atom. For the calculated formation energy, the calculation gives 0.028 eV/atom.


DFT (PBE) results for crystalline PmDy10Th4 at its relaxed geometry.

a b c (Å): 9.662 9.662 10.779
angles (deg): 90.00 90.00 90.00
Space group I4/m (No. 87)
Symmetry-distinct sites (fractional):
Pm1 0.000 0.000 0.000
Dy1 0.000 0.500 0.250
Dy2 0.116 0.788 0.343
Th1 0.064 0.662 0.000

Output
For the calculated formation energy, the calculation gives 0.378 eV/atom.


DFT (PBE) results for crystalline Pm2DyTh at its relaxed geometry.

a b c (Å): 3.608 3.608 10.209
angles (deg): 90.00 90.00 90.00
Space group P4/mmm (No. 123)
Symmetry-distinct sites (fractional):
Pm1 0.000 0.000 0.244
Dy1 0.500 0.500 0.500
Th1 0.500 0.500 0.000

Output
For the relative energy among the computed polymorphs, the calculation gives 37.0 meV per atom. For the calculated formation energy, the calculation gives 0.042 eV/atom.


Number 1: energy -277.28 eV per cell. Number 2: energy -115.07 eV per cell. Number 3: energy -23.94 eV per cell. Number 4: energy -16.69 eV per cell. Number 5: energy -149.56 eV per cell. Number 6: energy -21.36 eV per cell.